Entry 1:
This record from Alexandria describes crystalline Zr2TlSi at its relaxed geometry. The functional is PBE.

The crystal system is orthorhombic. For the uncorrected formation energy, the calculation gives 0.037 eV/atom. Its electronic total energy is -6.185 eV per atom. The value obtained for the total magnetic moment is 0.000 Bohr magnetons per cell. For the density of states at the Fermi level, the calculation gives 8.42 states/eV/cell.

abc: 4.1674 5.2600 7.9899
angles: 90.00 90.00 90.00
With the nearest neighbours (Å) after each atom.
Space group Cmm2 (No. 35)
One atom of each set of equivalent atoms:
Zr1 0.0000 0.0000 0.0000 x2  2 Tl 3.04, 6 Zr 3.08-3.36
Zr2 0.0000 0.5000 0.2842 x2  2 Si 2.61
Tl1 0.0000 0.5000 0.7232 x2  2 Si 2.84, 2 Zr 3.04
Si1 0.0000 0.0000 0.4808 x2  2 Zr 2.61, 2 Tl 2.84


Entry 2:
This record from Alexandria describes crystalline CaRhBr2 at its relaxed geometry. The functional is PBE.

The crystal system is tetragonal. For the uncorrected formation energy, the calculation gives -0.555 eV/atom. The value obtained for the distance to the lowest polymorph of the same formula is 0.263 eV/atom. Its electronic total energy is -3.730 eV per atom. The value obtained for the total magnetic moment is 0.575 Bohr magnetons per cell. For the density of states at the Fermi level, the calculation gives 6.98 states/eV/cell.

abc: 3.9833 3.9833 11.4156
angles: 90.00 90.00 90.00
With the nearest neighbours (Å) after each atom.
Space group I-4m2 (No. 119)
One atom of each set of equivalent atoms:
Ca1 0.0000 0.0000 0.0000 x2  4 Br 2.82
Rh1 0.0000 0.5000 0.7500 x2  4 Br 2.82
Br1 0.0000 0.0000 0.5000 x2  4 Ca 2.82
Br2 0.0000 0.5000 0.2500 x2  4 Rh 2.82